Density functional theory data (PBE) for a geometry-optimized PrAl2Cu structure.

Results
E_form: -1.53 eV/f.u.
Density: 5.36 g/cm³

Structure (CIF):
```
data_PrAl2Cu
_chemical_formula_sum 'Pr8 Al16 Cu8'
_space_group_name_H-M_alt 'P n m a'
_space_group_IT_number 62
_space_group_name_Hall '-P 2ac 2n'
_cell_length_a 15.788
_cell_length_b 6.893
_cell_length_c 5.890
_cell_angle_alpha 90.00
_cell_angle_beta 90.00
_cell_angle_gamma 90.00
loop_
_atom_site_label
_atom_site_type_symbol
_atom_site_fract_x
_atom_site_fract_y
_atom_site_fract_z
_atom_site_occupancy
Pr1 Pr 0.105 0.250 0.215 1
Pr2 Pr 0.138 0.750 0.008 1
Al1 Al 0.043 0.057 0.704 1
Al2 Al 0.213 0.556 0.512 1
Cu1 Cu 0.074 0.750 0.494 1
Cu2 Cu 0.180 0.250 0.738 1
```